Record 1
Below is YCoNiSb after structural relaxation, with properties calculated at the PBE-GGA level.

Output
* symmetry: F-43m

a b c (Å): 4.5568 4.5568 4.5568
angles (deg): 60.00 60.00 60.00
Atoms (fractional coordinates):
Y (0.0000, 0.0000, 0.0000)
Co (0.7500, 0.7500, 0.7500)
Ni (0.2500, 0.2500, 0.2500)
Sb (0.5000, 0.5000, 0.5000)



Record 2
Below is ZrCoNiSb after structural relaxation, with properties calculated at the PBE-GGA level.

Output
* symmetry: F-43m

a b c (Å): 4.4442 4.4442 4.4442
angles (deg): 60.00 60.00 60.00
Atoms (fractional coordinates):
Zr (0.0000, 0.0000, 0.0000)
Co (0.7500, 0.7500, 0.7500)
Ni (0.2500, 0.2500, 0.2500)
Sb (0.5000, 0.5000, 0.5000)



The records above give, respectively, raw total energy values of -0.4516, -0.4923 Ry per atom.